(1)
VASP calculation (GGA-PBE) on a geometry-optimized SnSb2TeIr structure.

Output
formation energy from raw total energies = 0.3779 eV per atom
E above lowest polymorph = 0 meV per atom

Cell lengths 5.0674, 5.0674, 5.7618 Å; angles 90.00, 90.00, 90.00 degrees
Element x y z (fractional)
Ir 0.0000 0.0000 0.0000
Sb 0.5000 0.0000 0.0000
Sb 0.0000 0.5000 0.0000
Te 0.0000 0.0000 0.5000
Sn 0.5000 0.5000 0.5000

(2)
VASP calculation (GGA-PBE) on a geometry-optimized Zr2HRh structure.

Output
E above lowest polymorph = 245 meV per atom

Cell lengths 4.5231, 4.5231, 4.5231 Å; angles 60.00, 60.00, 60.00 degrees
Element x y z (fractional)
H 0.0000 0.0000 0.0000
Zr 0.7500 0.7500 0.7500
Zr 0.2500 0.2500 0.2500
Rh 0.5000 0.5000 0.5000

(3)
VASP calculation (GGA-PBE) on a geometry-optimized Ho2Ni3Sn5 structure.

Output
E_form = -477.4 meV/atom

Cell lengths 4.3300, 7.1875, 13.2436 Å; angles 90.00, 99.41, 90.00 degrees
Element x y z (fractional)
Sn 0.1202 0.2492 0.2405
Ho 0.8283 0.2388 0.6566
Sn 0.0478 0.5891 0.0957
Sn 0.9522 0.0891 0.9043
Ni 0.6055 0.5091 0.2110
Sn 0.4068 0.3771 0.8136
Ni 0.7776 0.7194 0.5552
Ni 0.3945 0.0091 0.7890
Ho 0.5259 0.2528 0.0517
Sn 0.8798 0.7492 0.7595
Ho 0.1717 0.7388 0.3434
Sn 0.7129 0.0147 0.4258
Ni 0.9515 0.4751 0.9029
Ni 0.0485 0.9751 0.0971
Sn 0.2871 0.5147 0.5742
Ho 0.4741 0.7528 0.9483
Sn 0.5932 0.8771 0.1864
Ni 0.2224 0.2194 0.4448
Sn 0.2974 0.9394 0.5949
Sn 0.7026 0.4394 0.4051

(4)
VASP calculation (GGA-PBE) on a geometry-optimized Dy3YAg2 structure.

Output
E_form = 29.9 meV/atom
E above lowest polymorph = 231 meV per atom

Cell lengths 7.0476, 7.4128, 8.6526 Å; angles 115.36, 114.03, 90.00 degrees
Element x y z (fractional)
Dy 0.2284 0.4784 0.4568
Ag 0.4424 0.6425 0.2849
Ag 0.8425 0.1425 0.2849
Dy 0.7716 0.5216 0.5432
Y 0.0000 0.5000 0.0000
Ag 0.5576 0.3575 0.7151
Dy 0.7716 0.0216 0.5432
Dy 0.5000 0.2500 0.0000
Ag 0.1575 0.8575 0.7151
Dy 0.2284 0.9784 0.4568
Dy 0.5000 0.7500 0.0000
Y 0.0000 0.0000 0.0000

Values of E, in order: -4.47; -7.11; -5.13; -4.30, all in eV per atom.